# 1
The following is a PBEsol calculation of a relaxed structure of Rb2CuC2O7, from Alexandria via LeMat-Bulk.

## Properties
- raw total energy (Ry per atom) = -0.46703
- density of states at the Fermi level (states/eV per atom) = 0.30
- energy relative to the elements, uncorrected (eV/f.u.) = -13.83
- density (g/cm³) = 3.29
- spin magnetization (μB per atom) = 0.1570

Unit cell a=6.3875 b=8.1733 c=14.3282 alpha=90.00 beta=90.00 gamma=90.66
Last column: nearest neighbours and their distance in Å.
Atoms (fractional coordinates):
O: 0.6813 0.4565 0.5848  1 C 1.24
O: 0.2396 0.0409 0.5713  1 C 1.25
O: 0.4825 0.2508 0.7541  1 O 2.70, 4 Rb 2.83-2.89
O: 0.3187 0.5435 0.4152  1 C 1.24
O: 0.0881 0.9425 0.7007  1 C 1.32
O: 0.5736 0.3478 0.1119  1 C 1.32
O: 0.3887 0.8338 0.6460  1 C 1.31
O: 0.4119 0.0575 0.2007  1 C 1.32
O: 0.6113 0.1662 0.3540  1 C 1.31
O: 0.1113 0.1662 0.1460  1 C 1.31
O: 0.7130 0.5885 0.7246  1 C 1.33
O: 0.5881 0.9425 0.7993  1 C 1.32
O: 0.8187 0.5435 0.0848  1 C 1.24
O: 0.9264 0.6522 0.6119  1 C 1.32
O: 0.8887 0.8338 0.8540  1 C 1.31
O: 0.0736 0.3478 0.3881  1 C 1.32
O: 0.4264 0.6522 0.8881  1 C 1.32
O: 0.9119 0.0575 0.2993  1 C 1.32
O: 0.0175 0.7492 0.2541  1 O 2.70, 4 Rb 2.83-2.89
O: 0.1813 0.4565 0.9152  1 C 1.24
O: 0.7604 0.9591 0.4287  1 C 1.25
O: 0.9825 0.2508 0.7459  1 O 2.70, 4 Rb 2.83-2.89
O: 0.7870 0.4115 0.2246  1 C 1.33
O: 0.2130 0.5885 0.7754  1 C 1.33
O: 0.7396 0.0409 0.9287  1 C 1.25
O: 0.5175 0.7492 0.2459  1 O 2.70, 4 Rb 2.83-2.89
O: 0.2604 0.9591 0.0713  1 C 1.25
O: 0.2870 0.4115 0.2754  1 C 1.33
Cu: 0.5687 0.2471 0.2328  4 O 1.88-1.93
Cu: 0.0687 0.2471 0.2672  4 O 1.88-1.93
Cu: 0.4313 0.7529 0.7672  4 O 1.88-1.93
Cu: 0.9313 0.7529 0.7328  4 O 1.88-1.93
C: 0.2672 0.5581 0.8632  3 O 1.24-1.33
C: 0.2328 0.4419 0.3632  3 O 1.24-1.33
C: 0.2620 0.0594 0.1376  3 O 1.25-1.32
C: 0.7328 0.4419 0.1368  3 O 1.24-1.33
C: 0.2380 0.9406 0.6376  3 O 1.25-1.32
C: 0.7672 0.5581 0.6368  3 O 1.24-1.33
C: 0.7620 0.0594 0.3624  3 O 1.25-1.32
C: 0.7380 0.9406 0.8624  3 O 1.25-1.32
Rb: 0.7786 0.9005 0.1104  8 O 2.83-3.16
Rb: 0.7569 0.6113 0.3970  7 O 2.86-3.01
Rb: 0.7431 0.3887 0.8970  7 O 2.86-3.01
Rb: 0.2569 0.6113 0.1030  7 O 2.86-3.01
Rb: 0.2786 0.9005 0.3896  8 O 2.83-3.16
Rb: 0.2431 0.3887 0.6030  7 O 2.86-3.01
Rb: 0.2214 0.0995 0.8896  8 O 2.83-3.16
Rb: 0.7214 0.0995 0.6104  8 O 2.83-3.16

---

# 2
The following is a PBEsol calculation of a relaxed structure of Mn3As2, from Alexandria via LeMat-Bulk.

## Properties
- raw total energy (Ry per atom) = -0.58972
- density of states at the Fermi level (states/eV per atom) = 0.80
- energy relative to the elements (meV per atom) = -124
- density (g/cm³) = 7.84
- spin magnetization (μB per atom) = 1.1389

Unit cell a=3.4796 b=6.4919 c=6.4152 alpha=79.04 beta=74.26 gamma=74.46
Last column: nearest neighbours and their distance in Å.
Atoms (fractional coordinates):
As: 0.2477 0.6732 0.8314  7 Mn 2.41-2.46
As: 0.7523 0.3268 0.1686  7 Mn 2.41-2.46
As: 0.9323 0.7756 0.3599  8 Mn 2.42-2.52
As: 0.0677 0.2244 0.6401  8 Mn 2.42-2.52
Mn: 0.0000 0.0000 0.0000  4 As 2.41-2.47, 8 Mn 2.52-2.62
Mn: 0.5925 0.7141 0.1009  5 As 2.41-2.44, 4 Mn 2.52-2.66
Mn: 0.5000 0.5000 0.5000  6 As 2.43-2.52, 2 Mn 2.65
Mn: 0.6839 0.9355 0.6968  5 As 2.42-2.50, 4 Mn 2.62-2.70
Mn: 0.3161 0.0645 0.3032  5 As 2.42-2.50, 4 Mn 2.62-2.70
Mn: 0.4075 0.2859 0.8991  5 As 2.41-2.44, 4 Mn 2.52-2.66

---

# 3
The following is a PBEsol calculation of a relaxed structure of BaTl2Ag, from Alexandria via LeMat-Bulk.

## Properties
- raw total energy (Ry per atom) = -0.21510
- density of states at the Fermi level (states/eV per atom) = 0.49
- E above lowest polymorph (kcal/mol of atoms) = 0.00
- energy relative to the elements (meV per atom) = -246
- density (g/cm³) = 8.87
- spin magnetization (μB per atom) = 0.0000

Unit cell a=4.8538 b=4.8504 c=6.6252 alpha=111.47 beta=90.00 gamma=120.02
Last column: nearest neighbours and their distance in Å.
Atoms (fractional coordinates):
Ag: 0.4348 0.8697 0.3047  6 Tl 2.83-3.09
Tl: 0.0297 0.0595 0.0895  3 Ag 3.08-3.09, 3 Tl 3.27
Tl: 0.7904 0.5809 0.3711  3 Ag 2.83
Ba: 0.2450 0.4900 0.7347  4 Ag 3.42-3.81, 6 Tl 3.52-3.55

---

# 4
The following is a PBEsol calculation of a relaxed structure of KBe2Ir, from Alexandria via LeMat-Bulk.

## Properties
- raw total energy (Ry per atom) = -0.28115
- density of states at the Fermi level (states/eV per atom) = 0.63
- E above lowest polymorph (kcal/mol of atoms) = 9.28
- energy relative to the elements (meV per atom) = 914
- density (g/cm³) = 7.17
- spin magnetization (μB per atom) = 0.0004

Unit cell a=2.7959 b=4.3155 c=4.7832 alpha=90.03 beta=90.00 gamma=90.00
Last column: nearest neighbours and their distance in Å.
Atoms (fractional coordinates):
Be: 0.5000 0.5000 0.5000  2 Ir 2.39, 4 K 2.57
Be: 0.0000 0.0000 0.0000  2 K 2.39, 4 Ir 2.57
K: 0.0000 0.0000 0.5000  6 Be 2.39-2.57
Ir: 0.5000 0.5000 0.0000  6 Be 2.39-2.57

---

# 5
The following is a PBEsol calculation of a relaxed structure of SbTe2Rh, from Alexandria via LeMat-Bulk.

## Properties
- raw total energy (Ry per atom) = -0.33628
- density of states at the Fermi level (states/eV per atom) = 0.66
- energy relative to the elements, uncorrected (eV/f.u.) = 1.45
- density (g/cm³) = 9.02
- spin magnetization (μB per atom) = 0.0000

Unit cell a=5.0000 b=5.0000 c=5.0000 alpha=60.00 beta=60.00 gamma=60.00
Last column: nearest neighbours and their distance in Å.
Atoms (fractional coordinates):
Te: 0.0000 0.0000 0.0000  4 Te 3.06, 4 Sb 3.06
Te: 0.7500 0.7500 0.7500  4 Te 3.06, 4 Rh 3.06
Rh: 0.5000 0.5000 0.5000  4 Sb 3.06, 4 Te 3.06
Sb: 0.2500 0.2500 0.2500  4 Te 3.06, 4 Rh 3.06

---

# 6
The following is a PBEsol calculation of a relaxed structure of SrCdAu4, from Alexandria via LeMat-Bulk.

## Properties
- raw total energy (Ry per atom) = -0.26080
- density of states at the Fermi level (states/eV per atom) = 0.54
- energy relative to the elements (meV per atom) = -426
- density (g/cm³) = 13.47
- spin magnetization (μB per atom) = 0.0000

Unit cell a=5.5639 b=5.5639 c=5.5639 alpha=60.00 beta=60.00 gamma=60.00
Last column: nearest neighbours and their distance in Å.
Atoms (fractional coordinates):
Au: 0.3754 0.3754 0.8737  6 Au 2.77-2.79
Au: 0.3754 0.8737 0.3754  6 Au 2.77-2.79
Au: 0.3754 0.3754 0.3754  6 Au 2.77-2.79
Au: 0.8737 0.3754 0.3754  6 Au 2.77-2.79
Cd: 0.7500 0.7500 0.7500  12 Au 3.26, 4 Sr 3.41
Sr: 0.0000 0.0000 0.0000  12 Au 3.26, 4 Cd 3.41

---

# 7
The following is a PBEsol calculation of a relaxed structure of KLaSeN2, from Alexandria via LeMat-Bulk.

## Properties
- raw total energy (Ry per atom) = -0.38458
- density of states at the Fermi level (states/eV per atom) = 0.43
- energy relative to the elements, uncorrected (eV/f.u.) = 1.22
- density (g/cm³) = 3.48
- spin magnetization (μB per atom) = 0.8019

Unit cell a=4.8089 b=4.8089 c=5.8803 alpha=90.00 beta=90.00 gamma=90.00
Last column: nearest neighbours and their distance in Å.
Atoms (fractional coordinates):
K: 0.5000 0.5000 0.5000  4 Se 3.40, 8 N 3.80
Se: 0.0000 0.0000 0.5000  2 La 2.94
N: 0.5000 0.0000 0.0000  2 La 2.40
N: 0.0000 0.5000 0.0000  2 La 2.40
La: 0.0000 0.0000 0.0000  4 N 2.40

---

# 8
The following is a PBEsol calculation of a relaxed structure of La2Ge2O7, from Alexandria via LeMat-Bulk.

## Properties
- raw total energy (Ry per atom) = -0.57511
- density of states at the Fermi level (states/eV per atom) = 0.00
- energy relative to the elements, uncorrected (eV/f.u.) = -28.76
- density (g/cm³) = 5.74
- spin magnetization (μB per atom) = 0.0000

Unit cell a=6.8912 b=7.0466 c=7.0744 alpha=64.33 beta=87.63 gamma=88.73
Last column: nearest neighbours and their distance in Å.
Atoms (fractional coordinates):
O: 0.2252 0.3649 0.1284  1 Ge 1.74
O: 0.5389 0.2031 0.5265  1 Ge 1.77
O: 0.2850 0.8128 0.6529  1 Ge 1.72
O: 0.1941 0.1416 0.8027  1 Ge 1.73
O: 0.5442 0.4232 0.7594  1 Ge 1.77
O: 0.8251 0.5662 0.2500  1 Ge 1.77
O: 0.8661 0.2780 0.9947  1 Ge 1.74
O: 0.9229 0.6496 0.6326  1 Ge 1.74
O: 0.9036 0.1150 0.4259  1 Ge 1.76
O: 0.4935 0.7011 0.0136  1 Ge 1.79
O: 0.1312 0.9255 0.2301  2 Ge 1.78-1.83
O: 0.8206 0.9285 0.8808  1 Ge 1.79
O: 0.2378 0.5245 0.4546  2 Ge 1.80-1.83
O: 0.5924 0.9290 0.2617  1 Ge 1.74
La: 0.5735 0.3178 0.1508  6 O 2.33-2.55
La: 0.6344 0.8303 0.6336  6 O 2.34-2.59
La: 0.1453 0.7458 0.9940  6 O 2.41-2.54
La: 0.8740 0.3035 0.6404  8 O 2.41-2.68
Ge: 0.0372 0.1849 0.1880  4 O 1.74-1.83
Ge: 0.1433 0.7425 0.4995  4 O 1.72-1.80
Ge: 0.6813 0.7933 0.1203  4 O 1.74-1.79
Ge: 0.3763 0.3128 0.6528  4 O 1.73-1.83

---

# 9
The following is a PBEsol calculation of a relaxed structure of TaSi2Os, from Alexandria via LeMat-Bulk.

## Properties
- raw total energy (Ry per atom) = -0.67859
- density of states at the Fermi level (states/eV per atom) = 0.69
- energy relative to the elements, uncorrected (eV/f.u.) = -0.67
- density (g/cm³) = 12.34
- spin magnetization (μB per atom) = 0.0000

Unit cell a=2.8500 b=2.8500 c=8.3382 alpha=80.16 beta=80.16 gamma=60.00
Last column: nearest neighbours and their distance in Å.
Atoms (fractional coordinates):
Os: 0.0000 0.0000 0.0000  6 Si 2.50
Ta: 0.5000 0.5000 0.5000  6 Si 2.75, 6 Ta 2.85
Si: 0.7436 0.7436 0.7692  3 Os 2.50, 3 Ta 2.75
Si: 0.2564 0.2564 0.2308  3 Os 2.50, 3 Ta 2.75

---

# 10
The following is a PBEsol calculation of a relaxed structure of NiSnP2S, from Alexandria via LeMat-Bulk.

## Properties
- raw total energy (Ry per atom) = -0.36490
- density of states at the Fermi level (states/eV per atom) = 1.04
- energy relative to the elements, uncorrected (eV/f.u.) = 1.56
- density (g/cm³) = 5.03
- spin magnetization (μB per atom) = 0.0016

Unit cell a=4.2959 b=4.2959 c=4.8577 alpha=90.00 beta=90.00 gamma=90.00
Last column: nearest neighbours and their distance in Å.
Atoms (fractional coordinates):
P: 0.0000 0.5000 0.0000  2 Ni 2.15
P: 0.5000 0.0000 0.0000  2 Ni 2.15
Sn: 0.5000 0.5000 0.5000  4 S 3.04, 8 P 3.24
S: 0.0000 0.0000 0.5000  2 Ni 2.43
Ni: 0.0000 0.0000 0.0000  4 P 2.15